This record from Alexandria via LeMat-Bulk describes a relaxed La2Pr3Sm6Er crystal. The functional is PBE.

Structure (POSCAR):
```
La2Pr3Sm6Er
1.0
3.173 -5.494 0.000
3.173 5.494 0.000
-2.122 0.000 11.947
La Pr Sm Er
2 3 6 1
Cartesian
3.173 3.663 0.000 La
3.173 -3.663 0.000 La
-1.061 0.000 5.973 Pr
2.111 1.830 5.973 Pr
2.111 -1.830 5.973 Pr
0.002 1.822 8.968 Sm
1.063 0.000 2.982 Sm
0.002 -1.822 8.968 Sm
4.220 1.822 2.979 Sm
3.159 0.000 8.965 Sm
4.220 -1.822 2.979 Sm
3.173 0.000 0.000 Er
```

- density of states at the Fermi level (states/eV/f.u.) = 17.85
- M_tot (μB per atom) = 0.00
- energy relative to the elements (eV per atom) = 0.016